## DyTmZr2N4 (GGA-PBE)

Data for a relaxed DyTmZr2N4 crystal.

E_form (uncorrected): -1.755 eV/atom
M_tot: 0.00 μB per formula unit
DFT total energy: -9.189 eV per atom

Lattice parameters (Å, degrees): 5.761 3.329 5.815 90.00 109.31 90.00
Space group P2/m (No. 10)
Inequivalent atoms, fractional coordinates:
Dy (0.000, 0.000, 0.000) x1
Tm (0.500, 0.500, 0.000) x1
Zr (0.000, 0.500, 0.500) x1
Zr (0.500, 0.000, 0.500) x1
N (0.249, 0.000, 0.738) x2
N (0.257, 0.500, 0.265) x2



## Li2SbMo (GGA-PBE)

Data for a relaxed Li2SbMo crystal.

E_form (uncorrected): -0.128 eV/atom
M_tot: 0.00 μB per formula unit
DFT total energy: -4.823 eV per atom

Lattice parameters (Å, degrees): 5.390 4.442 5.685 90.00 90.44 90.00
Space group Pm (No. 6)
Inequivalent atoms, fractional coordinates:
Li (0.000, 0.000, 0.000) x1
Li (0.023, 0.000, 0.472) x1
Li (0.242, 0.500, 0.725) x1
Li (0.739, 0.500, 0.921) x1
Sb (0.168, 0.500, 0.222) x1
Sb (0.573, 0.000, 0.712) x1
Mo (0.508, 0.000, 0.209) x1
Mo (0.680, 0.500, 0.396) x1



## Ba2LaBr (GGA-PBE)

Data for a relaxed Ba2LaBr crystal.

E_form (uncorrected): -0.148 eV/atom
M_tot: 2.44 μB per formula unit
DFT total energy: -2.760 eV per atom
E above lowest polymorph: 0.498 eV per atom

Lattice parameters (Å, degrees): 5.380 5.380 11.954 90.00 90.00 90.00
Space group I4/mmm (No. 139)
Inequivalent atoms, fractional coordinates:
Ba (0.000, 0.500, 0.250) x4
La (0.000, 0.000, 0.000) x2
Br (0.000, 0.000, 0.500) x2



## PmEr2C2 (GGA-PBE)

Data for a relaxed PmEr2C2 crystal.

M_tot: 0.77 μB per formula unit
DFT total energy: -6.660 eV per atom
Energy relative to the elements: -94 kJ/mol of formula units

Lattice parameters (Å, degrees): 3.679 5.007 11.293 90.00 90.00 90.00
Space group Immm (No. 71)
Inequivalent atoms, fractional coordinates:
Pm (0.000, 0.000, 0.000) x2
Er (0.000, 0.000, 0.310) x4
C (0.000, 0.500, 0.332) x4



## Ta2HgBiI (GGA-PBE)

Data for a relaxed Ta2HgBiI crystal.

E_form (uncorrected): 1.853 eV/atom
M_tot: 0.00 μB per formula unit
DFT total energy: -4.035 eV per atom

Lattice parameters (Å, degrees): 5.077 5.077 5.751 90.00 90.00 90.00
Space group P4/mmm (No. 123)
Inequivalent atoms, fractional coordinates:
Ta (0.000, 0.500, 0.000) x2
Hg (0.000, 0.000, 0.500) x1
Bi (0.500, 0.500, 0.500) x1
I (0.000, 0.000, 0.000) x1



## AcCe2Si6 (GGA-PBE)

Data for a relaxed AcCe2Si6 crystal.

E_form (uncorrected): -0.392 eV/atom
M_tot: 0.00 μB per formula unit
DFT total energy: -5.782 eV per atom
E above lowest polymorph: 0.197 eV per atom

Lattice parameters (Å, degrees): 3.988 8.651 11.834 90.00 90.00 90.00
Space group Immm (No. 71)
Inequivalent atoms, fractional coordinates:
Ac (0.000, 0.000, 0.000) x2
Ce (0.000, 0.500, 0.127) x4
Si (0.000, 0.197, 0.500) x4
Si (0.000, 0.268, 0.307) x8



## KY2Si (GGA-PBE)

Data for a relaxed KY2Si crystal.

E_form (uncorrected): -0.035 eV/atom
M_tot: 0.00 μB per formula unit
DFT total energy: -4.898 eV per atom

Lattice parameters (Å, degrees): 3.961 3.961 9.162 90.00 90.00 90.00
Space group P4mm (No. 99)
Inequivalent atoms, fractional coordinates:
K (0.000, 0.000, 0.000) x1
Y (0.000, 0.000, 0.388) x1
Y (0.500, 0.500, 0.629) x1
Si (0.500, 0.500, 0.324) x1